w | ## YHo4Tm7 (PBE)

Data for a relaxed structure of YHo4Tm7.

Output
DOS(E_F) in states/eV/atom: 1.752
V in Å³ per cell: 370.5

a b c (Å): 6.445 6.732 8.891
angles (deg): 84.96 76.79 81.09
Space group P-1 (No. 2)
Inequivalent atoms, fractional coordinates:
Y 0.000 0.000 0.000 x1
Ho 0.164 0.617 0.311 x2
Ho 0.362 0.195 0.712 x2
Tm 0.000 0.500 0.000 x1
Tm 0.188 0.108 0.387 x2
Tm 0.318 0.705 0.643 x2
Tm 0.484 0.249 0.050 x2

---

x | ## YHo4Tm7 (PBE)

Data for a relaxed structure of YHo4Tm7.

Output
DOS(E_F) in states/eV/atom: 1.675
V in Å³ per cell: 763.7

a b c (Å): 11.985 5.777 12.535
angles (deg): 90.00 118.36 90.00
Space group C2/m (No. 12)
Inequivalent atoms, fractional coordinates:
Y 0.000 0.000 0.000 x2
Ho 0.134 0.500 0.775 x4
Ho 0.249 0.000 0.684 x4
Tm 0.000 0.500 0.000 x2
Tm 0.059 0.000 0.326 x4
Tm 0.135 0.500 0.502 x4
Tm 0.213 0.000 0.924 x4

---

Which is more stable than every other structure shown? w is more stable than every other one.